VASP calculation (GGA-PBE) on crystalline Zn3In3Ga8 at its relaxed geometry. Values from VASP.

Cell and atoms, written as Quantum ESPRESSO input:
```
&SYSTEM
  ibrav = 0, nat = 14, ntyp = 3
/
ATOMIC_SPECIES
Zn 65.41 Zn.upf
In 114.82 In.upf
Ga 69.72 Ga.upf
ATOMIC_POSITIONS angstrom
Zn 0.0000 0.0000 0.0000
Zn 2.1477 1.7714 0.0000
Zn 0.0000 3.3303 6.3925
In 2.1477 0.0000 2.5411
In 0.0000 5.1017 0.0000
In 0.0000 5.1017 3.8515
Ga 2.1477 -2.9845 4.5899
Ga 2.1477 3.7667 -1.9199
Ga 0.0000 2.1172 1.8027
Ga 0.0000 1.3350 4.4726
Ga 2.1477 3.7667 1.9199
Ga 2.1477 2.9845 4.5899
Ga 0.0000 1.3350 8.3125
Ga 0.0000 8.0862 1.8027
CELL_PARAMETERS angstrom
-2.1477 5.1017 6.3925
2.1477 -5.1017 6.3925
2.1477 5.1017 -6.3925
```

As for the energy of formation: 0.027 eV per atom.

VASP calculation (GGA-PBE) on crystalline K3ZrMn2S6 at its relaxed geometry. Values from VASP.

Cell and atoms, written as Quantum ESPRESSO input:
```
&SYSTEM
  ibrav = 0, nat = 12, ntyp = 4
/
ATOMIC_SPECIES
K 39.10 K.upf
Zr 91.22 Zr.upf
Mn 54.94 Mn.upf
S 32.06 S.upf
ATOMIC_POSITIONS angstrom
K 0.0000 0.0000 0.0000
K 3.3818 1.8194 0.0000
K 3.3818 -1.8194 0.0000
Zr 2.2013 0.0000 3.6330
Mn 2.2013 3.6567 3.6330
Mn 2.2013 -3.6567 3.6330
S 1.1822 1.8977 2.2215
S -0.1287 0.0000 4.9220
S 1.1822 -1.8977 2.2215
S 3.2205 1.8977 5.0445
S 4.5314 0.0000 2.3441
S 3.2205 -1.8977 5.0445
CELL_PARAMETERS angstrom
3.3818 -5.5533 0.0000
3.3818 5.5533 0.0000
-2.3608 0.0000 7.2661
```

The uncorrected formation energy is -1.070 eV/atom.

| no. | calculated total energy (eV/atom) |
| --- | --- |
| 1 | -2.5621 |
| 2 | -5.6487 |